1.
VASP calculation (PBE) on crystalline BeCdIn2 at its relaxed geometry. Values from VASP.

Geometry as Quantum ESPRESSO input:
```
&SYSTEM
  ibrav = 0, nat = 4, ntyp = 3
/
ATOMIC_SPECIES
Be 9.01 Be.upf
Cd 112.41 Cd.upf
In 114.82 In.upf
CELL_PARAMETERS angstrom
4.469 0.000 0.000
0.000 4.469 0.000
0.000 0.000 4.289
ATOMIC_POSITIONS crystal
Be 0.000 0.000 0.000
Cd 0.500 0.500 0.000
In 0.000 0.500 0.500
In 0.500 0.000 0.500
```

Values from the calculation:
polymorph energy (0 for the lowest one)	160	meV/atom
E_tot	-0.0773	hartree per atom
calculated formation energy	0.43	eV/atom


2.
VASP calculation (PBE) on crystalline BeCd2In at its relaxed geometry. Values from VASP.

Geometry as Quantum ESPRESSO input:
```
&SYSTEM
  ibrav = 0, nat = 8, ntyp = 3
/
ATOMIC_SPECIES
Be 9.01 Be.upf
Cd 112.41 Cd.upf
In 114.82 In.upf
CELL_PARAMETERS angstrom
2.983 0.000 0.000
0.000 4.272 0.000
0.000 0.000 12.768
ATOMIC_POSITIONS crystal
Be 0.000 0.000 0.000
Be 0.500 0.500 0.500
Cd 0.000 0.500 0.314
Cd 0.000 0.500 0.686
Cd 0.500 0.000 0.186
Cd 0.500 0.000 0.814
In 0.000 0.000 0.500
In 0.500 0.500 0.000
```

Values from the calculation:
polymorph energy (0 for the lowest one)	20	meV/atom
E_tot	-0.0668	hartree per atom
calculated formation energy	0.26	eV/atom


3.
VASP calculation (PBE) on crystalline BeCd2In at its relaxed geometry. Values from VASP.

Geometry as Quantum ESPRESSO input:
```
&SYSTEM
  ibrav = 0, nat = 12, ntyp = 3
/
ATOMIC_SPECIES
Be 9.01 Be.upf
Cd 112.41 Cd.upf
In 114.82 In.upf
CELL_PARAMETERS angstrom
3.228 0.000 0.000
-1.614 2.795 0.000
0.000 0.000 26.804
ATOMIC_POSITIONS crystal
Be 0.000 0.000 0.000
Be 0.333 0.667 0.667
Be 0.667 0.333 0.333
Cd 0.000 0.000 0.265
Cd 0.000 0.000 0.735
Cd 0.333 0.667 0.402
Cd 0.333 0.667 0.931
Cd 0.667 0.333 0.069
Cd 0.667 0.333 0.598
In 0.000 0.000 0.500
In 0.333 0.667 0.167
In 0.667 0.333 0.833
```

Values from the calculation:
polymorph energy (0 for the lowest one)	44	meV/atom
E_tot	-0.0659	hartree per atom
calculated formation energy	0.28	eV/atom


4.
VASP calculation (PBE) on crystalline Be2CdIn at its relaxed geometry. Values from VASP.

Geometry as Quantum ESPRESSO input:
```
&SYSTEM
  ibrav = 0, nat = 4, ntyp = 3
/
ATOMIC_SPECIES
Be 9.01 Be.upf
Cd 112.41 Cd.upf
In 114.82 In.upf
CELL_PARAMETERS angstrom
3.369 0.000 0.000
0.000 3.835 0.000
0.000 0.000 5.129
ATOMIC_POSITIONS crystal
Be 0.000 0.000 0.000
Be 0.500 0.500 0.259
Cd 0.000 0.000 0.467
In 0.500 0.500 0.781
```

Values from the calculation:
polymorph energy (0 for the lowest one)	141	meV/atom
E_tot	-0.0827	hartree per atom
calculated formation energy	0.53	eV/atom


Question: E_tot of number 2 (BeCd2In)?
Answer: -0.0668 hartree per atom


Question: Among the records above, which one has the highest polymorph energy (0 for the lowest one)?
Answer: BeCdIn2